# Ca3Tl PBEsol optimized geometry
# DFT formation energy = -0.2364 eV/atom
# Space group = Pmmn (59)
# Total moment = 0.00 μB/f.u.
# DOS at the Fermi energy = 5.5 states/eV/cell
data_Ca3Tl
_cell_length_a 5.579
_cell_length_b 6.307
_cell_length_c 7.146
_cell_angle_alpha 90.00
_cell_angle_beta 90.00
_cell_angle_gamma 90.00
_symmetry_space_group_name_H-M 'P 1'
_symmetry_Int_Tables_number 1
loop_
_symmetry_equiv_pos_as_xyz
'x,y,z'
loop_
_atom_site_label
_atom_site_fract_x
_atom_site_fract_y
_atom_site_fract_z
Tl1 0.500 0.695 0.500
Tl2 0.000 0.305 0.000
Ca1 0.500 0.161 0.249
Ca2 0.000 0.378 0.500
Ca3 0.500 0.161 0.751
Ca4 0.500 0.622 0.000
Ca5 0.000 0.839 0.251
Ca6 0.000 0.839 0.749

***

# Ca3Tl PBEsol optimized geometry
# DFT formation energy = -0.2584 eV/atom
# Space group = P4/mmm (123)
# Total moment = 0.00 μB/f.u.
# DOS at the Fermi energy = 2.8 states/eV/cell
data_Ca3Tl
_cell_length_a 3.810
_cell_length_b 3.810
_cell_length_c 9.410
_cell_angle_alpha 90.00
_cell_angle_beta 90.00
_cell_angle_gamma 90.00
_symmetry_space_group_name_H-M 'P 1'
_symmetry_Int_Tables_number 1
loop_
_symmetry_equiv_pos_as_xyz
'x,y,z'
loop_
_atom_site_label
_atom_site_fract_x
_atom_site_fract_y
_atom_site_fract_z
Ca1 0.000 0.000 0.802
Ca2 0.500 0.500 0.500
Ca3 0.000 0.000 0.198
Tl1 0.500 0.500 0.000

***

# Ca3Tl PBEsol optimized geometry
# DFT formation energy = -0.2137 eV/atom
# Space group = Fm-3m (225)
# Total moment = 0.00 μB/f.u.
# DOS at the Fermi energy = 2.9 states/eV/cell
data_Ca3Tl
_cell_length_a 5.607
_cell_length_b 5.607
_cell_length_c 5.607
_cell_angle_alpha 60.00
_cell_angle_beta 60.00
_cell_angle_gamma 60.00
_symmetry_space_group_name_H-M 'P 1'
_symmetry_Int_Tables_number 1
loop_
_symmetry_equiv_pos_as_xyz
'x,y,z'
loop_
_atom_site_label
_atom_site_fract_x
_atom_site_fract_y
_atom_site_fract_z
Ca1 0.500 0.500 0.500
Ca2 0.750 0.750 0.750
Ca3 0.250 0.250 0.250
Tl1 0.000 0.000 0.000

***

# Ca4Tl PBEsol optimized geometry
# DFT formation energy = 0.0023 eV/atom
# Space group = Im-3m (229)
# Total moment = 0.00 μB/f.u.
# DOS at the Fermi energy = 3.7 states/eV/cell
data_Ca4Tl
_cell_length_a 6.351
_cell_length_b 6.351
_cell_length_c 6.351
_cell_angle_alpha 109.47
_cell_angle_beta 109.47
_cell_angle_gamma 109.47
_symmetry_space_group_name_H-M 'P 1'
_symmetry_Int_Tables_number 1
loop_
_symmetry_equiv_pos_as_xyz
'x,y,z'
loop_
_atom_site_label
_atom_site_fract_x
_atom_site_fract_y
_atom_site_fract_z
Ca1 0.500 0.500 0.500
Ca2 0.500 0.000 0.000
Ca3 0.000 0.000 0.500
Ca4 0.000 0.500 0.000
Tl1 0.000 0.000 0.000